[1]
Here is a crystal of Ni2SbTe relaxed with PBEsol from the Alexandria database. Energies are from SCAN.

Output
E above lowest polymorph = 0.993 eV per atom
Formation energy without anion corrections = 0.750 eV/atom

a b c (Å): 6.594 6.594 6.594
angles (deg): 90.00 90.00 90.00
Atoms (fractional coordinates):
1 Ni 0.000 0.000 0.000
2 Ni 0.000 0.500 0.500
3 Ni 0.250 0.250 0.250
4 Ni 0.250 0.750 0.750
5 Ni 0.500 0.000 0.500
6 Ni 0.500 0.500 0.000
7 Ni 0.750 0.250 0.750
8 Ni 0.750 0.750 0.250
9 Sb 0.250 0.250 0.750
10 Sb 0.250 0.750 0.250
11 Sb 0.750 0.250 0.250
12 Sb 0.750 0.750 0.750
13 Te 0.000 0.000 0.500
14 Te 0.000 0.500 0.000
15 Te 0.500 0.000 0.000
16 Te 0.500 0.500 0.500


[2]
Here is a crystal of Ni3Sb2Te2 relaxed with PBEsol from the Alexandria database. Energies are from SCAN.

Output
Formation energy without anion corrections = -0.248 eV/atom

a b c (Å): 12.144 3.914 6.678
angles (deg): 90.00 122.46 90.00
Atoms (fractional coordinates):
1 Ni 0.000 0.000 0.000
2 Ni 0.008 0.500 0.524
3 Ni 0.256 0.000 0.262
4 Ni 0.500 0.500 0.000
5 Ni 0.508 0.000 0.524
6 Ni 0.756 0.500 0.262
7 Sb 0.377 0.000 0.725
8 Sb 0.384 0.500 0.226
9 Sb 0.877 0.500 0.725
10 Sb 0.884 0.000 0.226
11 Te 0.125 0.500 0.298
12 Te 0.128 0.000 0.794
13 Te 0.625 0.000 0.298
14 Te 0.628 0.500 0.794


[3]
Here is a crystal of NiSbTe2 relaxed with PBEsol from the Alexandria database. Energies are from SCAN.

Output
Formation energy without anion corrections = 0.081 eV/atom

a b c (Å): 6.472 6.472 11.164
angles (deg): 90.00 90.00 90.00
Atoms (fractional coordinates):
1 Ni 0.000 0.000 0.000
2 Ni 0.000 0.500 0.250
3 Ni 0.500 0.000 0.750
4 Ni 0.500 0.500 0.500
5 Sb 0.000 0.000 0.500
6 Sb 0.000 0.500 0.750
7 Sb 0.500 0.000 0.250
8 Sb 0.500 0.500 0.000
9 Te 0.177 0.250 0.125
10 Te 0.250 0.677 0.375
11 Te 0.250 0.823 0.875
12 Te 0.323 0.250 0.625
13 Te 0.677 0.750 0.625
14 Te 0.750 0.177 0.875
15 Te 0.750 0.323 0.375
16 Te 0.823 0.750 0.125


[4]
Here is a crystal of Ni2SbTe relaxed with PBEsol from the Alexandria database. Energies are from SCAN.

Output
E above lowest polymorph = 0.211 eV per atom
Formation energy without anion corrections = -0.032 eV/atom

a b c (Å): 3.669 3.669 18.031
angles (deg): 90.00 90.00 120.00
Atoms (fractional coordinates):
1 Ni 0.000 0.000 0.249
2 Ni 0.000 0.000 0.751
3 Ni 0.333 0.667 0.417
4 Ni 0.333 0.667 0.916
5 Ni 0.667 0.333 0.084
6 Ni 0.667 0.333 0.583
7 Sb 0.000 0.000 0.500
8 Sb 0.333 0.667 0.167
9 Sb 0.667 0.333 0.833
10 Te 0.000 0.000 0.000
11 Te 0.333 0.667 0.667
12 Te 0.667 0.333 0.333


[5]
Here is a crystal of NiSbTe2 relaxed with PBEsol from the Alexandria database. Energies are from SCAN.

Output
Formation energy without anion corrections = 0.000 eV/atom

a b c (Å): 3.655 3.829 13.693
angles (deg): 90.00 90.00 90.00
Atoms (fractional coordinates):
1 Ni 0.000 0.000 0.000
2 Ni 0.000 0.500 0.500
3 Sb 0.500 0.000 0.453
4 Sb 0.500 0.500 0.953
5 Te 0.000 0.000 0.815
6 Te 0.000 0.500 0.315
7 Te 0.500 0.000 0.129
8 Te 0.500 0.500 0.629


[6]
Here is a crystal of Ni2SbTe relaxed with PBEsol from the Alexandria database. Energies are from SCAN.

Output
E above lowest polymorph = 0.520 eV per atom
Formation energy without anion corrections = 0.278 eV/atom

a b c (Å): 3.296 3.296 6.216
angles (deg): 90.00 90.00 90.00
Atoms (fractional coordinates):
1 Ni 0.000 0.000 0.245
2 Ni 0.000 0.000 0.755
3 Sb 0.500 0.500 0.500
4 Te 0.500 0.500 0.000